Entry 1:
A geometry-optimized Mg2CdAs2 structure, computed with GGA-PBEsol.

Values from the calculation:
- Energy of formation: -0.24 eV per atom

Cell lengths 7.9437, 7.9437, 3.1631 Å; angles 90.00, 90.00, 90.00 degrees
Element x y z (fractional)
Mg (0.1405, 0.3595, 0.0000)
Mg (0.3595, 0.8595, 0.0000)
Mg (0.6405, 0.1405, 0.0000)
Mg (0.8595, 0.6405, 0.0000)
Cd (0.0000, 0.0000, 0.5000)
Cd (0.5000, 0.5000, 0.5000)
As (0.1600, 0.6600, 0.5000)
As (0.3400, 0.1600, 0.5000)
As (0.6600, 0.8400, 0.5000)
As (0.8400, 0.3400, 0.5000)


Entry 2:
A geometry-optimized SrPPt3 structure, computed with GGA-PBEsol.

Values from the calculation:
- Energy of formation: -0.50 eV per atom

Cell lengths 4.5963, 4.5963, 4.5963 Å; angles 90.00, 90.00, 90.00 degrees
Element x y z (fractional)
Sr (0.0000, 0.0000, 0.0000)
P (0.5000, 0.5000, 0.5000)
Pt (0.0000, 0.5000, 0.5000)
Pt (0.5000, 0.0000, 0.5000)
Pt (0.5000, 0.5000, 0.0000)


Entry 3:
A geometry-optimized As2OsPt structure, computed with GGA-PBEsol.

Values from the calculation:
- Energy of formation: 0.20 eV per atom

Cell lengths 4.2264, 3.0772, 5.0937 Å; angles 90.00, 112.86, 90.00 degrees
Element x y z (fractional)
As (0.0000, 0.0000, 0.0000)
As (0.0000, 0.5000, 0.5000)
Os (0.5000, 0.0000, 0.5000)
Pt (0.5000, 0.5000, 0.0000)


Number 1: DOS at the Fermi energy 4.2 states/eV/cell. Number 2: DOS at the Fermi energy 3.8 states/eV/cell. Number 3: DOS at the Fermi energy 2.4 states/eV/cell.